Crystalline Ta3Nb2Au at its relaxed geometry, computed with GGA-PBE.

Cell lengths 4.7967, 7.3000, 7.3000 Å; angles 111.47, 90.04, 89.96 degrees
With the nearest neighbours (Å) after each atom.
Fractional coordinates of all 12 atoms:
Ta  0.9931  0.0824  0.0824  4 Ta 2.75-2.85, 3 Au 2.84-2.87, 2 Nb 2.93
Nb  0.9931  0.2834  0.5108  3 Ta 2.64-2.93, 3 Nb 2.74-2.93
Nb  0.4930  0.7166  0.4892  3 Ta 2.64-2.93, 3 Nb 2.74-2.93
Au  0.9931  0.7332  0.7332  3 Ta 2.84-2.87, 6 Nb 2.96-3.08
Nb  0.9930  0.5108  0.2834  3 Ta 2.64-2.93, 3 Nb 2.74-2.93
Ta  0.9930  0.3631  0.8951  2 Nb 2.64-2.65, 1 Ta 2.85
Ta  0.4926  0.6369  0.1049  2 Nb 2.64-2.65, 1 Ta 2.85
Nb  0.4931  0.4892  0.7166  3 Ta 2.64-2.93, 3 Nb 2.74-2.93
Ta  0.4930  0.1049  0.6369  2 Nb 2.64-2.65, 1 Ta 2.85
Ta  0.4931  0.9176  0.9176  4 Ta 2.75-2.85, 3 Au 2.84-2.87, 2 Nb 2.93
Ta  0.9926  0.8951  0.3631  2 Nb 2.64-2.65, 1 Ta 2.85
Au  0.4931  0.2668  0.2668  3 Ta 2.84-2.87, 6 Nb 2.96-3.08

Output
The space-group type is No. 63. For the formation enthalpy at 0 K, the calculation gives 565 meV per atom. Its relative energy among the computed polymorphs is 596 meV/atom. As for the magnetic moment: 0.00 μB/cell.